First-principles (PBE) data for an optimized crystal structure of AcH4Os, as listed in Alexandria via LeMat-Bulk.

## Properties
Fermi-level density of states   1.93 states/eV per cell
Energy   -5.011 eV per atom
Mass density   10.10 g/cm3
V   11.546 A^3/atom

a b c (Å): 8.734 4.534 4.534
angles (deg): 129.50 90.00 90.00
Fractional positions:
Ac  0.000  0.000  0.000
Ac  0.500  0.000  0.000
H  0.054  0.701  0.314
H  0.250  0.189  0.812
H  0.250  0.428  0.457
H  0.446  0.701  0.314
H  0.554  0.314  0.701
H  0.750  0.457  0.428
H  0.750  0.812  0.189
H  0.946  0.314  0.701
Os  0.250  0.700  0.326
Os  0.750  0.326  0.700